Entry 1:
Entry from Alexandria: an optimized crystal structure of Pr2BiAu (GGA-PBE).

Output
* V: 125.64 Å³/f.u.
* energy of formation from the pure elements: -0.771 eV/atom

Geometry as CIF:
```
data_Pr2BiAu
_cell_length_a 4.254
_cell_length_b 24.424
_cell_length_c 4.837
_cell_angle_alpha 90.00
_cell_angle_beta 90.00
_cell_angle_gamma 90.00
_symmetry_space_group_name_H-M 'C m c m'
_symmetry_Int_Tables_number 63
_symmetry_space_group_name_Hall '-C 2c 2'
loop_
_atom_site_label
_atom_site_fract_x
_atom_site_fract_y
_atom_site_fract_z
Pr1 0.000 0.058 0.250
Pr2 0.000 0.323 0.250
Bi1 0.000 0.189 0.250
Au1 0.000 0.460 0.250
```


Entry 2:
Entry from Alexandria: an optimized crystal structure of PrBiAu3 (GGA-PBE).

Output
* V: 122.08 Å³/f.u.
* energy of formation from the pure elements: -0.488 eV/atom

Geometry as CIF:
```
data_PrBiAu3
_cell_length_a 3.735
_cell_length_b 28.018
_cell_length_c 4.666
_cell_angle_alpha 90.00
_cell_angle_beta 90.00
_cell_angle_gamma 90.00
_symmetry_space_group_name_H-M 'C m c m'
_symmetry_Int_Tables_number 63
_symmetry_space_group_name_Hall '-C 2c 2'
loop_
_atom_site_label
_atom_site_fract_x
_atom_site_fract_y
_atom_site_fract_z
Pr1 0.000 0.075 0.250
Bi1 0.000 0.209 0.750
Au1 0.000 0.320 0.750
Au2 0.000 0.377 0.250
Au3 0.000 0.475 0.250
```


Entry 3:
Entry from Alexandria: an optimized crystal structure of PrBiAu (GGA-PBE).

Output
* V: 87.35 Å³/f.u.
* energy of formation from the pure elements: -0.737 eV/atom

Geometry as CIF:
```
data_PrBiAu
_cell_length_a 8.595
_cell_length_b 4.887
_cell_length_c 8.816
_cell_angle_alpha 90.00
_cell_angle_beta 109.32
_cell_angle_gamma 90.00
_symmetry_space_group_name_H-M 'C 1 2/m 1'
_symmetry_Int_Tables_number 12
loop_
_symmetry_equiv_pos_as_xyz
'x,y,z'
'-x,-y,-z'
'-x,y,-z'
'x,-y,z'
'x+1/2,y+1/2,z'
'-x+1/2,-y+1/2,-z'
'-x+1/2,y+1/2,-z'
'x+1/2,-y+1/2,z'
loop_
_atom_site_label
_atom_site_fract_x
_atom_site_fract_y
_atom_site_fract_z
Pr1 0.243 0.000 0.221
Bi1 0.000 0.000 0.500
Bi2 0.000 0.500 0.000
Au1 0.125 0.500 0.372
```